# 1
Density functional theory data (PBE) for Na2CeB2O6 after structural relaxation.

Summary:
- volume (Å³/f.u.) = 152
- D(E_F) (states/eV per cell) = 0.00
- energy relative to the elements, uncorrected (eV per atom) = -2.52

a = 5.3367 Å, b = 5.3367 Å, c = 6.1820 Å
α = 90.00°, β = 90.00°, γ = 120.00°
Fractional positions:
Na  0.3333  0.6667  0.3419
Na  0.6667  0.3333  0.6581
Ce  0.0000  0.0000  0.0000
B  0.3333  0.6667  0.7925
B  0.6667  0.3333  0.2075
O  0.1016  0.7158  0.7859
O  0.2842  0.3859  0.7859
O  0.3859  0.1016  0.2141
O  0.6141  0.8984  0.7859
O  0.7158  0.6141  0.2141
O  0.8984  0.2842  0.2141


# 2
Density functional theory data (PBE) for NaCe2B2O6 after structural relaxation.

Summary:
- volume (Å³/f.u.) = 154
- D(E_F) (states/eV per cell) = 11.07
- energy relative to the elements, uncorrected (eV per atom) = -2.45

a = 5.6257 Å, b = 5.6257 Å, c = 5.6035 Å
α = 90.00°, β = 90.00°, γ = 120.00°
Fractional positions:
Na  0.0000  0.0000  0.0000
Ce  0.3333  0.6667  0.6811
Ce  0.6667  0.3333  0.3189
B  0.3333  0.6667  0.2162
B  0.6667  0.3333  0.7838
O  0.1060  0.4033  0.2429
O  0.2972  0.8940  0.2429
O  0.4033  0.2972  0.7571
O  0.5967  0.7028  0.2429
O  0.7028  0.1060  0.7571
O  0.8940  0.5967  0.7571


# 3
Density functional theory data (PBE) for CeNbB2 after structural relaxation.

Summary:
- volume (Å³/f.u.) = 61
- D(E_F) (states/eV per cell) = 10.67
- DFT formation energy (kcal/mol of atoms) = -1.7

a = 3.3694 Å, b = 3.3694 Å, c = 18.7124 Å
α = 90.00°, β = 90.00°, γ = 120.00°
Fractional positions:
Ce  0.0000  0.0000  0.0000
Ce  0.3333  0.6667  0.6667
Ce  0.6667  0.3333  0.3333
Nb  0.0000  0.0000  0.5000
Nb  0.3333  0.6667  0.1667
Nb  0.6667  0.3333  0.8333
B  0.0000  0.0000  0.2351
B  0.0000  0.0000  0.7649
B  0.3333  0.6667  0.4315
B  0.3333  0.6667  0.9018
B  0.6667  0.3333  0.0982
B  0.6667  0.3333  0.5685


# 4
Density functional theory data (PBE) for CeNdB12 after structural relaxation.

Summary:
- volume (Å³/f.u.) = 141
- D(E_F) (states/eV per cell) = 5.70
- DFT formation energy (kcal/mol of atoms) = -11.4

a = 4.1265 Å, b = 4.1265 Å, c = 8.2563 Å
α = 90.00°, β = 90.00°, γ = 90.00°
Fractional positions:
Ce  0.0000  0.0000  0.0000
Nd  0.0000  0.0000  0.5000
B  0.1992  0.5000  0.2496
B  0.1992  0.5000  0.7504
B  0.5000  0.1992  0.2496
B  0.5000  0.1992  0.7504
B  0.5000  0.5000  0.0994
B  0.5000  0.5000  0.4003
B  0.5000  0.5000  0.5997
B  0.5000  0.5000  0.9006
B  0.5000  0.8008  0.2496
B  0.5000  0.8008  0.7504
B  0.8008  0.5000  0.2496
B  0.8008  0.5000  0.7504